Entry 1:
First-principles (meta-GGA SCAN) data for a PBEsol-optimized structure of TaMoCl2, as listed in Alexandria.

E_form (uncorrected) ... -0.279 eV per atom
Space-group type ... No. 99
Calculated density ... 8.118 Mg/m³

Unit cell a=2.9392 b=2.9392 c=8.2347 alpha=90.00 beta=90.00 gamma=90.00
Element x y z (fractional)
Mo 0.0000 0.0000 0.4991
Cl 0.0000 0.0000 0.9407
Cl 0.5000 0.5000 0.3165
Ta 0.5000 0.5000 0.7438

Entry 2:
First-principles (meta-GGA SCAN) data for a PBEsol-optimized structure of Ta2MoCl2, as listed in Alexandria.

E_form (uncorrected) ... 0.946 eV per atom
Space-group type ... No. 139
Calculated density ... 10.123 Mg/m³

Unit cell a=4.3392 b=4.3392 c=5.5346 alpha=113.08 beta=113.08 gamma=90.00
Site moments in Bohr magnetons follow the coordinates.
Element x y z (fractional)
Mo 0.0000 0.0000 0.0000  2.02
Cl 0.3611 0.3611 0.7222  0.04
Cl 0.6389 0.6389 0.2778  0.04
Ta 0.2500 0.7500 0.5000  -0.19
Ta 0.7500 0.2500 0.5000  -0.19

Entry 3:
First-principles (meta-GGA SCAN) data for a PBEsol-optimized structure of TcMo4Cl, as listed in Alexandria.

E_form (uncorrected) ... 0.999 eV per atom
Space-group type ... No. 216
Calculated density ... 8.875 Mg/m³

Unit cell a=5.1534 b=5.1534 c=5.1534 alpha=60.00 beta=60.00 gamma=60.00
Element x y z (fractional)
Cl 0.0000 0.0000 0.0000
Mo 0.3745 0.3745 0.3745
Mo 0.3745 0.3745 0.8764
Mo 0.8764 0.3745 0.3745
Mo 0.3745 0.8764 0.3745
Tc 0.7500 0.7500 0.7500

Entry 4:
First-principles (meta-GGA SCAN) data for a PBEsol-optimized structure of Tc2MoCl, as listed in Alexandria.

E_form (uncorrected) ... 0.451 eV per atom
Space-group type ... No. 6
Calculated density ... 9.397 Mg/m³

Unit cell a=2.8202 b=3.9585 c=5.3543 alpha=90.00 beta=104.57 gamma=90.00
Element x y z (fractional)
Mo 0.4494 0.5000 0.7448
Tc 0.0442 0.0000 0.0348
Tc 0.6413 0.5000 0.2407
Cl 0.3651 0.0000 0.4798